(one)
{"formula": "HoAlHg", "functional": "GGA-PBE", "state": "optimized geometry", "lattice_angstrom": [[4.6428, 0.0000, 0.0000], [-2.3214, 4.0207, 0.0000], [0.0000, 0.0000, 3.5849]], "species": ["Ho", "Al", "Hg"], "frac_coords": [[0.0000, 0.0000, 0.0000], [0.3333, 0.6667, 0.5000], [0.6667, 0.3333, 0.5000]], "rho_g_cm3": 9.74, "volume_a3_per_atom": 22.31}

(two)
{"formula": "HoAlHg", "functional": "GGA-PBE", "state": "optimized geometry", "lattice_angstrom": [[-1.6822, 1.6822, 12.6782], [1.6822, -1.6822, 12.6782], [1.6822, 1.6822, -12.6782]], "species": ["Ho", "Ho", "Al", "Al", "Hg", "Hg"], "frac_coords": [[0.1418, 0.1418, 0.0000], [0.8582, 0.8582, 0.0000], [0.2781, 0.2781, 0.0000], [0.7219, 0.7219, 0.0000], [0.4433, 0.4433, 0.0000], [0.5567, 0.5567, 0.0000]], "rho_g_cm3": 9.08, "volume_a3_per_atom": 23.92}

(three)
{"formula": "HoAlHg", "functional": "GGA-PBE", "state": "optimized geometry", "lattice_angstrom": [[5.3960, -2.3007, 0.0000], [5.3960, 2.3007, 0.0000], [-4.7574, 0.0000, 5.4315]], "species": ["Ho", "Ho", "Al", "Al", "Hg", "Hg"], "frac_coords": [[0.0329, 0.0329, 0.2865], [0.9671, 0.9671, 0.7135], [0.3424, 0.3424, 0.8762], [0.6576, 0.6576, 0.1238], [0.3260, 0.3260, 0.2770], [0.6740, 0.6740, 0.7230]], "rho_g_cm3": 9.67, "volume_a3_per_atom": 22.48}

Quick one: most stable of them? (one)